This record from OQMD via LeMat-Bulk describes crystalline NiP3 at its relaxed geometry. The functional is PBE-GGA.

```
NiP3
1.0
-4.278 -3.261 -0.151
-4.807 0.821 2.276
3.786 2.305 -3.052
Ni P
1 3
direct
0.000 0.000 0.000
0.500 0.500 0.000
0.750 0.250 0.500
0.250 0.750 0.500
```

relative energy among the computed polymorphs = 12 meV/atom
E_tot = -19.88 eV per cell
calculated density = 4.57 g cm⁻³
SG = I4/mmm (139)